DFT (PBE) results for BeSn2Pb after structural relaxation.

Cell and atoms, written as POSCAR:
```
BeSn2Pb
1.0
-2.792 2.792 7.467
2.792 -2.792 7.467
2.792 2.792 -7.467
Be Sn Pb
2 4 2
direct
0.000 0.000 0.000
0.750 0.250 0.500
0.022 0.625 0.897
0.375 0.272 0.397
0.728 0.125 0.103
0.875 0.978 0.603
0.250 0.750 0.500
0.500 0.500 0.000
```

Output
E above lowest polymorph	0.00	eV/f.u.
symmetry	I-42d (122)
N(E_F)	3.43	states/eV/cell